1.
5
Lattice="4.650 0.000 0.000 0.000 4.650 0.000 0.000 0.000 4.011" Properties=species:S:1:pos:R:3 comment="PBE with a Hubbard U VBrOF2, optimized geometry" n_ef_per_ev_cell=3.4 space_group=P4/mmm dft_energy_ev_per_atom=-3.62 volume_a3_per_atom=17.3 crystal_system=tetragonal pbc="T T T"
V 0.000 0.000 0.000
Br 2.325 2.325 2.006
O 2.325 2.325 0.000
F 0.000 2.325 2.006
F 2.325 0.000 2.006


2.
5
Lattice="4.315 0.000 0.000 0.000 4.315 0.000 0.000 0.000 3.941" Properties=species:S:1:pos:R:3 comment="PBE with a Hubbard U WBrOF2, optimized geometry" n_ef_per_ev_cell=2.7 space_group=P4/mmm dft_energy_ev_per_atom=-4.95 volume_a3_per_atom=14.7 crystal_system=tetragonal pbc="T T T"
W 0.000 0.000 0.000
Br 2.157 2.157 1.970
O 0.000 0.000 1.970
F 0.000 2.157 0.000
F 2.157 0.000 0.000


3.
5
Lattice="4.949 0.000 0.000 0.000 4.949 0.000 0.000 0.000 3.742" Properties=species:S:1:pos:R:3 comment="PBE with a Hubbard U WBrOF2, optimized geometry" n_ef_per_ev_cell=2.6 space_group=P4/mmm dft_energy_ev_per_atom=-3.23 volume_a3_per_atom=18.3 crystal_system=tetragonal pbc="T T T"
W 0.000 0.000 0.000
Br 2.475 2.475 1.871
O 2.475 2.475 0.000
F 0.000 2.475 1.871
F 2.475 0.000 1.871